(1)
V3O5F | PBE with a Hubbard U | optimized geometry

Unit cell a=4.5948 b=4.5948 c=9.2162 alpha=90.00 beta=90.00 gamma=92.59
Closest atoms and distances in Å follow each position.
Fractional coordinates of all 18 atoms:
O 0.3058 0.3090 0.0000  3 V 1.95-1.96
O 0.1867 0.8133 0.5000  3 V 1.93-2.02
O 0.6910 0.6942 0.0000  3 V 1.95-1.96
O 0.7002 0.7082 0.6748  3 V 1.89-2.07
O 0.7995 0.2005 0.1678  1 V 1.78
O 0.7995 0.2005 0.8322  1 V 1.78
O 0.8011 0.1989 0.5000  3 V 1.92-2.06
O 0.2918 0.2998 0.6748  3 V 1.89-2.07
O 0.2918 0.2998 0.3252  3 V 1.89-2.07
O 0.7002 0.7082 0.3252  3 V 1.89-2.07
V 0.5315 0.4685 0.8355  5 O 1.78-1.98
V 0.9920 0.0080 0.3441  5 O 1.89-2.07
V 0.9927 0.0073 0.0000  4 O 1.95-2.01, 2 F 2.07
V 0.4911 0.5089 0.5000  6 O 2.02-2.07
V 0.9920 0.0080 0.6559  5 O 1.89-2.07
V 0.5315 0.4685 0.1645  5 O 1.78-1.98
F 0.2008 0.7992 0.8321  3 V 2.07-2.20
F 0.2008 0.7992 0.1679  3 V 2.07-2.20

Computed properties:
- mass density (g/cm³) = 4.30
- total moment (μB per formula unit) = 4.00
- electronic total energy (Ry per atom) = -0.55820
- energy above the most stable polymorph in this dataset (eV per atom) = 0.000
- space-group type = No. 38


(2)
VO2F2 | PBE with a Hubbard U | optimized geometry

Unit cell a=3.5453 b=3.5453 c=4.1080 alpha=90.00 beta=90.00 gamma=90.00
Closest atoms and distances in Å follow each position.
Fractional coordinates of all 5 atoms:
F 0.0000 0.0000 0.0000  4 O 1.77
F 0.0000 0.0000 0.5000  2 F 2.05
O 0.5000 0.0000 0.0000  2 F 1.77
O 0.0000 0.5000 0.0000  2 F 1.77
V 0.5000 0.5000 0.5000  4 F 2.51, 8 O 2.71

Computed properties:
- mass density (g/cm³) = 3.89
- total moment (μB per formula unit) = 0.31
- electronic total energy (Ry per atom) = -0.26893
- space-group type = No. 123


- The highest mass density belongs to which entry?
  V3O5F